DFT (PBE) results for crystalline CaFe3Ni at its relaxed geometry.

Structure (POSCAR):
```
CaFe3Ni
1.0
-1.652 3.968 1.031
-4.064 -1.732 0.153
0.542 -0.891 4.296
Ni Ca Fe
1 1 3
Direct
0.500 0.500 0.500
0.000 0.000 0.000
0.000 0.500 0.000
0.000 0.000 0.500
0.500 0.000 0.000
```

Energy above the lowest structure with this stoichiometry = 1519 meV/atom
Size of the total moment = 7.89 μB/f.u.
Energy of formation from the pure elements = 2.15 eV per atom
Electronic total energy = -4.4804 eV per atom